(1)
# Tb3Ho2Tm5, optimized geometry, DFT PBE-GGA
data_Tb3Ho2Tm5
_chemical_formula_sum 'Tb6 Ho4 Tm10'
_symmetry_space_group_name_H-M 'P 1'
_symmetry_Int_Tables_number 1
_symmetry_space_group_name_Hall 'P 1'
_cell_length_a 6.186
_cell_length_b 10.957
_cell_length_c 10.957
_cell_angle_alpha 99.92
_cell_angle_beta 73.60
_cell_angle_gamma 73.60
loop_
_atom_site_label
_atom_site_fract_x
_atom_site_fract_y
_atom_site_fract_z
_atom_site_occupancy
Ho1 0.399 0.945 0.257 1
Ho2 0.899 0.257 0.945 1
Tm1 0.098 0.558 0.246 1
Tm2 0.502 0.748 0.748 1
Tm3 0.902 0.442 0.754 1
Tm4 0.750 0.500 0.500 1
Tb1 0.659 0.592 0.089 1
Tb2 0.250 0.000 0.000 1
Tm5 0.402 0.754 0.442 1
Tb3 0.341 0.408 0.911 1
Tm6 0.250 0.500 0.500 1
Tm7 0.998 0.252 0.252 1
Tb4 0.159 0.089 0.592 1
Tm8 0.002 0.748 0.748 1
Tb5 0.841 0.911 0.408 1
Tb6 0.750 0.000 0.000 1
Ho3 0.601 0.055 0.743 1
Ho4 0.101 0.743 0.055 1
Tm9 0.498 0.252 0.252 1
Tm10 0.598 0.246 0.558 1
# - ΔE_f (eV/atom) = 0.36
# - ΔE to the lowest computed polymorph (kcal/mol of atoms) = 3.52

=====

(2)
# Tb3Ho3Tm, optimized geometry, DFT PBE-GGA
data_Tb3Ho3Tm
_chemical_formula_sum 'Tb6 Ho6 Tm2'
_symmetry_space_group_name_H-M 'P 1'
_symmetry_Int_Tables_number 1
_symmetry_space_group_name_Hall 'P 1'
_cell_length_a 5.623
_cell_length_b 9.507
_cell_length_c 9.507
_cell_angle_alpha 120.00
_cell_angle_beta 90.00
_cell_angle_gamma 90.00
loop_
_atom_site_label
_atom_site_fract_x
_atom_site_fract_y
_atom_site_fract_z
_atom_site_occupancy
Ho1 0.250 0.381 0.905 1
Tb1 0.750 0.048 0.240 1
Ho2 0.750 0.619 0.095 1
Ho3 0.250 0.095 0.476 1
Ho4 0.250 0.524 0.619 1
Tb2 0.250 0.952 0.760 1
Tm1 0.250 0.667 0.333 1
Ho5 0.750 0.476 0.381 1
Tb3 0.750 0.192 0.952 1
Tb4 0.250 0.240 0.192 1
Tb5 0.750 0.760 0.808 1
Tb6 0.250 0.808 0.048 1
Tm2 0.750 0.333 0.667 1
Ho6 0.750 0.905 0.524 1
# - ΔE_f (eV/atom) = 0.01
# - ΔE to the lowest computed polymorph (kcal/mol of atoms) = 0.00

=====

(3)
# Tb19Ho6Tm4, optimized geometry, DFT PBE-GGA
data_Tb19Ho6Tm4
_chemical_formula_sum 'Tb19 Ho6 Tm4'
_symmetry_space_group_name_H-M 'P 1'
_symmetry_Int_Tables_number 1
_symmetry_space_group_name_Hall 'P 1'
_cell_length_a 10.730
_cell_length_b 10.730
_cell_length_c 10.730
_cell_angle_alpha 109.47
_cell_angle_beta 109.47
_cell_angle_gamma 109.47
loop_
_atom_site_label
_atom_site_fract_x
_atom_site_fract_y
_atom_site_fract_z
_atom_site_occupancy
Tb1 0.675 0.658 0.460 1
Tb2 0.658 0.460 0.675 1
Tb3 0.198 0.215 0.540 1
Tm1 0.000 0.000 0.642 1
Tm2 0.000 0.642 0.000 1
Tb4 0.261 0.000 0.261 1
Ho1 0.627 0.500 0.127 1
Tb5 0.000 0.739 0.739 1
Tb6 0.802 0.342 0.017 1
Tb7 0.325 0.785 0.983 1
Ho2 0.500 0.127 0.627 1
Tb8 0.739 0.000 0.739 1
Ho3 0.500 0.873 0.373 1
Tb9 0.342 0.017 0.802 1
Tm3 0.642 0.000 0.000 1
Tb10 0.000 0.261 0.261 1
Tb11 0.785 0.983 0.325 1
Tb12 0.017 0.802 0.342 1
Ho4 0.373 0.500 0.873 1
Tb13 0.540 0.198 0.215 1
Tb14 0.261 0.261 0.000 1
Tm4 0.358 0.358 0.358 1
Ho5 0.873 0.373 0.500 1
Tb15 0.000 0.000 0.000 1
Tb16 0.215 0.540 0.198 1
Tb17 0.460 0.675 0.658 1
Tb18 0.739 0.739 0.000 1
Ho6 0.127 0.627 0.500 1
Tb19 0.983 0.325 0.785 1
# - ΔE_f (eV/atom) = 0.38

=====

(4)
# Tb6HoTm8, optimized geometry, DFT PBE-GGA
data_Tb6HoTm8
_chemical_formula_sum 'Tb6 Ho1 Tm8'
_symmetry_space_group_name_H-M 'P 1'
_symmetry_Int_Tables_number 1
_symmetry_space_group_name_Hall 'P 1'
_cell_length_a 6.434
_cell_length_b 9.313
_cell_length_c 9.313
_cell_angle_alpha 120.00
_cell_angle_beta 90.00
_cell_angle_gamma 90.00
loop_
_atom_site_label
_atom_site_fract_x
_atom_site_fract_y
_atom_site_fract_z
_atom_site_occupancy
Tb1 0.590 0.414 0.319 1
Tm1 0.097 0.024 0.688 1
Tm2 0.903 0.336 0.024 1
Tb2 0.410 0.586 0.681 1
Tm3 0.097 0.312 0.336 1
Tb3 0.410 0.319 0.905 1
Tm4 0.097 0.664 0.976 1
Tb4 0.410 0.095 0.414 1
Tm5 0.159 0.667 0.333 1
Tb5 0.590 0.681 0.095 1
Tm6 0.841 0.333 0.667 1
Tm7 0.903 0.688 0.664 1
Tb6 0.590 0.905 0.586 1
Tm8 0.903 0.976 0.312 1
Ho1 0.500 0.000 0.000 1
# - ΔE_f (eV/atom) = 0.24

=====

(5)
# Tb2Ho7Tm2, optimized geometry, DFT PBE-GGA
data_Tb2Ho7Tm2
_chemical_formula_sum 'Tb2 Ho7 Tm2'
_symmetry_space_group_name_H-M 'P 1'
_symmetry_Int_Tables_number 1
_symmetry_space_group_name_Hall 'P 1'
_cell_length_a 8.586
_cell_length_b 6.414
_cell_length_c 6.414
_cell_angle_alpha 92.79
_cell_angle_beta 82.56
_cell_angle_gamma 82.56
loop_
_atom_site_label
_atom_site_fract_x
_atom_site_fract_y
_atom_site_fract_z
_atom_site_occupancy
Ho1 0.212 0.448 0.080 1
Tb1 0.858 0.395 0.395 1
Ho2 0.212 0.080 0.448 1
Ho3 0.788 0.552 0.920 1
Ho4 0.409 0.849 0.849 1
Ho5 0.591 0.151 0.151 1
Tm1 0.500 0.676 0.324 1
Tm2 0.500 0.324 0.676 1
Ho6 0.788 0.920 0.552 1
Tb2 0.142 0.605 0.605 1
Ho7 0.000 0.000 0.000 1
# - ΔE_f (eV/atom) = 0.11
# - ΔE to the lowest computed polymorph (kcal/mol of atoms) = 0.00

=====

(6)
# TbHo3Tm4, optimized geometry, DFT PBE-GGA
data_TbHo3Tm4
_chemical_formula_sum 'Tb2 Ho6 Tm8'
_symmetry_space_group_name_H-M 'P 1'
_symmetry_Int_Tables_number 1
_symmetry_space_group_name_Hall 'P 1'
_cell_length_a 6.202
_cell_length_b 7.173
_cell_length_c 11.087
_cell_angle_alpha 90.00
_cell_angle_beta 90.00
_cell_angle_gamma 90.00
loop_
_atom_site_label
_atom_site_fract_x
_atom_site_fract_y
_atom_site_fract_z
_atom_site_occupancy
Ho1 0.981 0.626 0.750 1
Tb1 0.148 0.374 0.000 1
Tm1 0.148 0.876 0.500 1
Tm2 0.981 0.124 0.749 1
Tm3 0.481 0.876 0.249 1
Ho2 0.981 0.626 0.250 1
Tm4 0.648 0.124 0.500 1
Ho3 0.481 0.374 0.750 1
Ho4 0.147 0.374 0.500 1
Tb2 0.648 0.626 0.500 1
Ho5 0.481 0.374 0.250 1
Tm5 0.648 0.124 0.000 1
Tm6 0.981 0.124 0.251 1
Ho6 0.647 0.626 0.000 1
Tm7 0.148 0.876 0.000 1
Tm8 0.481 0.876 0.751 1
# - ΔE_f (eV/atom) = 0.00
# - ΔE to the lowest computed polymorph (kcal/mol of atoms) = 0.00

=====

(7)
# Tb2Ho6Tm5, optimized geometry, DFT PBE-GGA
data_Tb2Ho6Tm5
_chemical_formula_sum 'Tb4 Ho12 Tm10'
_symmetry_space_group_name_H-M 'P 1'
_symmetry_Int_Tables_number 1
_symmetry_space_group_name_Hall 'P 1'
_cell_length_a 3.539
_cell_length_b 11.512
_cell_length_c 19.907
_cell_angle_alpha 90.00
_cell_angle_beta 90.00
_cell_angle_gamma 90.00
loop_
_atom_site_label
_atom_site_fract_x
_atom_site_fract_y
_atom_site_fract_z
_atom_site_occupancy
Tm1 0.500 0.593 0.274 1
Ho1 0.000 0.416 0.868 1
Ho2 0.500 0.173 0.633 1
Ho3 0.000 0.558 0.419 1
Tb1 0.000 0.335 0.289 1
Ho4 0.000 0.942 0.919 1
Tm2 0.500 0.407 0.726 1
Ho5 0.500 0.327 0.133 1
Tm3 0.500 0.000 0.500 1
Ho6 0.000 0.084 0.368 1
Ho7 0.500 0.673 0.867 1
Tm4 0.500 0.198 0.950 1
Tm5 0.500 0.500 0.000 1
Ho8 0.000 0.058 0.081 1
Tm6 0.500 0.698 0.550 1
Tb2 0.000 0.665 0.711 1
Tm7 0.500 0.302 0.450 1
Ho9 0.500 0.827 0.367 1
Tm8 0.500 0.907 0.774 1
Tm9 0.500 0.093 0.226 1
Ho10 0.000 0.584 0.132 1
Tb3 0.000 0.165 0.789 1
Ho11 0.000 0.916 0.632 1
Tm10 0.500 0.802 0.050 1
Ho12 0.000 0.442 0.581 1
Tb4 0.000 0.835 0.211 1
# - ΔE_f (eV/atom) = 0.10

=====

(8)
# Tb2HoTm, optimized geometry, DFT PBE-GGA
data_Tb2HoTm
_chemical_formula_sum 'Tb8 Ho4 Tm4'
_symmetry_space_group_name_H-M 'P 1'
_symmetry_Int_Tables_number 1
_symmetry_space_group_name_Hall 'P 1'
_cell_length_a 6.508
_cell_length_b 12.977
_cell_length_c 7.008
_cell_angle_alpha 89.99
_cell_angle_beta 122.51
_cell_angle_gamma 90.00
loop_
_atom_site_label
_atom_site_fract_x
_atom_site_fract_y
_atom_site_fract_z
_atom_site_occupancy
Tb1 0.563 0.064 0.876 1
Tm1 0.063 0.175 0.875 1
Ho1 0.562 0.825 0.625 1
Tb2 0.563 0.564 0.625 1
Tb3 0.562 0.065 0.375 1
Tb4 0.063 0.936 0.125 1
Ho2 0.063 0.176 0.375 1
Tm2 0.062 0.675 0.625 1
Ho3 0.062 0.675 0.125 1
Tm3 0.562 0.825 0.125 1
Tb5 0.562 0.564 0.125 1
Tb6 0.063 0.436 0.376 1
Tb7 0.062 0.435 0.875 1
Ho4 0.563 0.324 0.875 1
Tb8 0.062 0.936 0.625 1
Tm4 0.563 0.325 0.375 1
# - ΔE_f (eV/atom) = 0.05
# - ΔE to the lowest computed polymorph (kcal/mol of atoms) = 0.99

=====

(9)
# Tb5Ho2Tm4, optimized geometry, DFT PBE-GGA
data_Tb5Ho2Tm4
_chemical_formula_sum 'Tb5 Ho2 Tm4'
_symmetry_space_group_name_H-M 'P 1'
_symmetry_Int_Tables_number 1
_symmetry_space_group_name_Hall 'P 1'
_cell_length_a 3.466
_cell_length_b 8.916
_cell_length_c 12.487
_cell_angle_alpha 110.92
_cell_angle_beta 97.98
_cell_angle_gamma 90.00
loop_
_atom_site_label
_atom_site_fract_x
_atom_site_fract_y
_atom_site_fract_z
_atom_site_occupancy
Tm1 0.403 0.403 0.806 1
Tb1 0.144 0.945 0.288 1
Tm2 0.000 0.313 0.000 1
Tb2 0.856 0.055 0.712 1
Tm3 0.597 0.597 0.194 1
Ho1 0.269 0.269 0.537 1
Tm4 0.000 0.687 0.000 1
Tb3 0.144 0.343 0.288 1
Tb4 0.856 0.657 0.712 1
Tb5 0.500 0.000 0.000 1
Ho2 0.731 0.731 0.463 1
# - ΔE_f (eV/atom) = 0.22
# - ΔE to the lowest computed polymorph (kcal/mol of atoms) = 0.00

=====

(10)
# TbHo2Tm6, optimized geometry, DFT PBE-GGA
data_TbHo2Tm6
_chemical_formula_sum 'Tb1 Ho2 Tm6'
_symmetry_space_group_name_H-M 'P 1'
_symmetry_Int_Tables_number 1
_symmetry_space_group_name_Hall 'P 1'
_cell_length_a 3.548
_cell_length_b 3.548
_cell_length_c 25.555
_cell_angle_alpha 90.00
_cell_angle_beta 90.00
_cell_angle_gamma 120.00
loop_
_atom_site_label
_atom_site_fract_x
_atom_site_fract_y
_atom_site_fract_z
_atom_site_occupancy
Tm1 0.333 0.667 0.435 1
Ho1 0.667 0.333 0.327 1
Tm2 0.333 0.667 0.218 1
Tm3 0.333 0.667 0.565 1
Tb1 0.333 0.667 0.000 1
Tm4 0.667 0.333 0.890 1
Tm5 0.333 0.667 0.782 1
Tm6 0.667 0.333 0.110 1
Ho2 0.667 0.333 0.673 1
# - ΔE_f (eV/atom) = 0.05
# - ΔE to the lowest computed polymorph (kcal/mol of atoms) = 0.00

=====

(11)
# TbHoTm2, optimized geometry, DFT PBE-GGA
data_TbHoTm2
_chemical_formula_sum 'Tb1 Ho1 Tm2'
_symmetry_space_group_name_H-M 'P 1'
_symmetry_Int_Tables_number 1
_symmetry_space_group_name_Hall 'P 1'
_cell_length_a 3.511
_cell_length_b 3.511
_cell_length_c 11.597
_cell_angle_alpha 81.29
_cell_angle_beta 81.29
_cell_angle_gamma 60.00
loop_
_atom_site_label
_atom_site_fract_x
_atom_site_fract_y
_atom_site_fract_z
_atom_site_occupancy
Tm1 0.250 0.250 0.249 1
Tb1 0.500 0.500 0.500 1
Ho1 0.000 0.000 0.000 1
Tm2 0.750 0.750 0.751 1
# - ΔE_f (eV/atom) = 0.02
# - ΔE to the lowest computed polymorph (kcal/mol of atoms) = 0.44

=====

(12)
# TbHo3Tm6, optimized geometry, DFT PBE-GGA
data_TbHo3Tm6
_chemical_formula_sum 'Tb2 Ho6 Tm12'
_symmetry_space_group_name_H-M 'P 1'
_symmetry_Int_Tables_number 1
_symmetry_space_group_name_Hall 'P 1'
_cell_length_a 6.098
_cell_length_b 10.807
_cell_length_c 10.807
_cell_angle_alpha 119.70
_cell_angle_beta 90.00
_cell_angle_gamma 90.00
loop_
_atom_site_label
_atom_site_fract_x
_atom_site_fract_y
_atom_site_fract_z
_atom_site_occupancy
Tm1 0.529 0.288 0.383 1
Ho1 0.457 0.936 0.720 1
Ho2 0.957 0.720 0.936 1
Tm2 0.921 0.048 0.952 1
Ho3 0.957 0.064 0.280 1
Tm3 0.029 0.383 0.288 1
Ho4 0.457 0.280 0.064 1
Tb1 0.656 0.791 0.209 1
Tm4 0.421 0.952 0.048 1
Tm5 0.029 0.712 0.617 1
Tm6 0.862 0.963 0.542 1
Tm7 0.141 0.714 0.286 1
Tm8 0.362 0.542 0.963 1
Tm9 0.641 0.286 0.714 1
Tm10 0.529 0.617 0.712 1
Tb2 0.156 0.209 0.791 1
Ho5 0.071 0.391 0.609 1
Tm11 0.362 0.037 0.458 1
Tm12 0.862 0.458 0.037 1
Ho6 0.571 0.609 0.391 1
# - ΔE_f (eV/atom) = 0.15
# - ΔE to the lowest computed polymorph (kcal/mol of atoms) = 0.56

=====

| no. | theoretical density (g/cm³) | volume (Å³ per cell) | E (eV/atom) |
| --- | --- | --- | --- |
| 1 | 8.34 | 657.5 | -4.185 |
| 2 | 8.61 | 440.1 | -4.576 |
| 3 | 8.18 | 951.1 | -4.213 |
| 4 | 8.49 | 483.2 | -4.298 |
| 5 | 8.67 | 346.6 | -4.457 |
| 6 | 8.95 | 493.3 | -4.531 |
| 7 | 8.81 | 811.1 | -4.445 |
| 8 | 8.67 | 499.1 | -4.530 |
| 9 | 8.39 | 356.5 | -4.345 |
| 10 | 8.96 | 278.5 | -4.467 |
| 11 | 9.02 | 121.9 | -4.514 |
| 12 | 8.95 | 618.6 | -4.370 |